First-principles (GGA-PBE) data for BaLiHfBe2 after structural relaxation, as listed in Alexandria.

Geometry as POSCAR:
```
BaLiHfBe2
1.0
-1.4609 -4.1945 -1.2018
4.4360 -1.0345 -1.7819
1.2739 -1.6222 4.1131
Be Hf Ba Li
2 1 1 1
Cartesian
0.6369 -0.8111 2.0566 Be
-0.7305 -2.0972 -0.6009 Be
2.2180 -0.5173 -0.8910 Hf
2.1245 -3.4256 0.5647 Ba
0.0000 0.0000 0.0000 Li
```

Calculated formation energy, meV/atom: 968
E_tot, eV for the cell shown: -16.402